Computed, not measured: a relaxed Tc2MoOs crystal at the GGA-PBE level of DFT.

Cell and atoms, written as POSCAR:
```
Tc2MoOs
1.0
2.7094 0.4663 0.0000
-0.4655 2.7096 0.0000
0.0000 0.0000 7.9039
Tc Os Mo
2 1 1
Cartesian
0.0000 0.0000 7.8206
0.0000 0.0000 4.0352
1.1220 1.5879 5.9279
1.1220 1.5879 1.9760
```

Computed properties:
The value obtained for the energy above the most stable polymorph in this dataset is 0.050 eV per atom. For the density, the calculation gives 13.40 g/cm³. The formation energy comes out at 0.11 eV/atom. The volume is 59.7 Å³ per cell. As for the space-group type: No. 123.

Computed, not measured: a relaxed NaAcSn3 crystal at the GGA-PBE level of DFT.

Cell and atoms, written as POSCAR:
```
NaAcSn3
1.0
-4.5208 0.6204 0.3109
-0.2450 -3.3402 3.1025
2.3032 11.9349 9.6726
Sn Na Ac
6 2 2
Cartesian
-3.3837 -0.5958 2.4503
-2.9548 1.4232 4.6580
-2.0199 6.9172 7.2879
0.4922 7.7919 8.4280
0.9211 9.8110 10.6357
-0.4427 2.2979 5.7981
-2.4809 4.7473 4.9152
0.0183 4.4678 8.1708
-1.6745 7.4499 11.2477
-0.7881 1.7652 1.8383
```

Computed properties:
For the density, the calculation gives 6.27 g/cm³. The formation energy comes out at -0.38 eV/atom. The volume is 320.8 Å³ per cell. As for the space-group type: No. 63.

Computed, not measured: a relaxed SiSn3Ru crystal at the GGA-PBE level of DFT.

Cell and atoms, written as POSCAR:
```
SiSn3Ru
1.0
-4.3514 1.0148 2.4465
-1.6138 -4.7469 -0.9012
2.1003 -1.5449 4.3763
Sn Ru Si
3 1 1
Cartesian
-2.1757 0.5074 1.2233
1.0501 -0.7724 2.1881
-0.8069 -2.3735 -0.4506
0.0000 0.0000 0.0000
-1.9324 -2.6385 2.9608
```

Computed properties:
The value obtained for the energy above the most stable polymorph in this dataset is 0.000 eV per atom. For the density, the calculation gives 6.10 g/cm³. As for the uncorrected formation energy: 45 kJ per mole of atoms. The volume is 132.2 Å³ per cell. As for the space-group type: No. 221.

Computed, not measured: a relaxed CuNiIrCl2 crystal at the GGA-PBE level of DFT.

Cell and atoms, written as POSCAR:
```
CuNiIrCl2
1.0
-3.7255 -2.5810 1.1550
1.3211 -3.3638 -3.2558
2.5263 -2.1799 3.2773
Cu Cl Ni Ir
1 2 1 1
Cartesian
0.6606 -1.6819 -1.6279
1.2631 -1.0900 1.6387
-1.8627 -1.2905 0.5775
0.0610 -4.0624 0.5883
0.0000 0.0000 0.0000
```

Computed properties:
For the density, the calculation gives 6.01 g/cm³. As for the uncorrected formation energy: 96 kJ per mole of atoms. The volume is 106.4 Å³ per cell. As for the space-group type: No. 123.

Computed, not measured: a relaxed AlZnTe crystal at the GGA-PBE level of DFT.

Cell and atoms, written as POSCAR:
```
AlZnTe
1.0
6.2658 -0.0021 0.0000
4.4841 4.3764 0.0000
-5.3750 -2.1872 2.3636
Zn Te Al
1 1 1
Cartesian
6.8925 2.8047 0.0000
3.6898 1.5015 0.0000
0.1675 0.0682 0.0000
```

Computed properties:
The value obtained for the energy above the most stable polymorph in this dataset is 0.220 eV per atom. For the density, the calculation gives 5.63 g/cm³. As for the uncorrected formation energy: 18 kJ per mole of atoms. The volume is 64.8 Å³ per cell. As for the space-group type: No. 107.

Computed, not measured: a relaxed Ca2HoEr crystal at the GGA-PBE level of DFT.

Cell and atoms, written as POSCAR:
```
Ca2HoEr
1.0
5.4642 0.0000 0.0000
0.0000 5.0807 0.0000
0.0000 0.0000 5.0807
Ca Er Ho
2 1 1
Cartesian
0.0000 2.5404 0.0000
0.0000 0.0000 2.5404
2.7321 0.0000 0.0000
2.7321 2.5404 2.5404
```

Computed properties:
The value obtained for the energy above the most stable polymorph in this dataset is 0.000 eV per atom. For the density, the calculation gives 4.85 g/cm³. The formation energy comes out at 0.20 eV/atom. The volume is 141.1 Å³ per cell. As for the space-group type: No. 123.

Computed, not measured: a relaxed CaTl2Co crystal at the GGA-PBE level of DFT.

Cell and atoms, written as POSCAR:
```
CaTl2Co
1.0
4.5602 0.0000 0.0000
0.0000 4.5625 0.0000
0.0000 0.0000 4.4815
Tl Ca Co
2 1 1
Cartesian
2.2801 2.2812 0.0000
0.0000 0.0000 0.0000
2.2801 0.0000 2.2407
0.0000 2.2812 2.2407
```

Computed properties:
For the density, the calculation gives 9.04 g/cm³. The formation energy comes out at 0.23 eV/atom. The volume is 93.2 Å³ per cell. As for the space-group type: No. 123.

Computed, not measured: a relaxed La2ZnAu crystal at the GGA-PBE level of DFT.

Cell and atoms, written as POSCAR:
```
La2ZnAu
1.0
5.3216 0.0107 0.0351
-0.0232 5.3217 0.0351
-0.0250 -0.0252 3.8047
Au Zn La
1 1 2
Cartesian
-0.0241 2.6482 1.9199
2.6483 -0.0072 1.9199
0.0000 0.0000 0.0000
2.6492 2.6662 0.0351
```

Computed properties:
For the density, the calculation gives 8.32 g/cm³. The formation energy comes out at -0.54 eV/atom. The volume is 107.8 Å³ per cell. As for the space-group type: No. 65.

Computed, not measured: a relaxed KIrOs2 crystal at the GGA-PBE level of DFT.

Cell and atoms, written as POSCAR:
```
KIrOs2
1.0
2.7229 0.0000 0.0000
0.0000 2.7229 0.0000
0.0000 0.0000 9.6024
Ir Os K
1 2 1
Cartesian
1.3614 1.3614 2.4006
0.0000 0.0000 4.3120
0.0000 0.0000 0.4892
1.3614 1.3614 7.2018
```

Computed properties:
The value obtained for the energy above the most stable polymorph in this dataset is 0.178 eV per atom. For the density, the calculation gives 14.27 g/cm³. The formation energy comes out at 0.86 eV/atom. The volume is 71.2 Å³ per cell. As for the space-group type: No. 123.

Computed, not measured: a relaxed Rh2WAu2 crystal at the GGA-PBE level of DFT.

Cell and atoms, written as POSCAR:
```
Rh2WAu2
1.0
3.5795 0.0000 0.0000
0.0000 3.5795 0.0000
1.7898 1.7898 6.9802
Au Rh W
2 2 1
Cartesian
1.7898 3.5795 3.4901
3.5795 1.7898 3.4901
3.5795 3.5795 5.7086
1.7898 1.7898 1.2715
0.0000 0.0000 0.0000
```

Computed properties:
The value obtained for the energy above the most stable polymorph in this dataset is 0.239 eV per atom. For the density, the calculation gives 14.55 g/cm³. The formation energy comes out at 0.66 eV/atom. The volume is 89.4 Å³ per cell. As for the space-group type: No. 139.

Computed, not measured: a relaxed CaFeSe crystal at the GGA-PBE level of DFT.

Cell and atoms, written as POSCAR:
```
CaFeSe
1.0
-2.0224 -3.6652 2.3215
-1.8393 -3.6701 -2.4617
2.1681 -4.2667 0.0875
Fe Se Ca
1 1 1
Cartesian
0.0000 0.0000 0.0000
-0.8468 -5.8010 -0.0264
-0.4234 -2.9005 -0.0132
```

Computed properties:
The value obtained for the energy above the most stable polymorph in this dataset is 0.804 eV per atom. For the density, the calculation gives 3.74 g/cm³. As for the uncorrected formation energy: 22 kJ per mole of atoms. The volume is 77.6 Å³ per cell. As for the space-group type: No. 216.

Computed, not measured: a relaxed ZnTePd2 crystal at the GGA-PBE level of DFT.

Cell and atoms, written as POSCAR:
```
ZnTePd2
1.0
-2.0243 3.7099 -1.0751
-3.5196 -0.1030 -2.5726
-4.4339 0.8209 2.3372
Pd Zn Te
2 1 1
Cartesian
-2.3044 1.1350 -0.5889
-7.6735 3.2927 -0.7217
0.0000 0.0000 0.0000
-4.9889 2.2139 -0.6553
```

Computed properties:
The value obtained for the energy above the most stable polymorph in this dataset is 0.024 eV per atom. For the density, the calculation gives 9.28 g/cm³. As for the uncorrected formation energy: -25 kJ per mole of atoms. The volume is 72.6 Å³ per cell. As for the space-group type: No. 166.